DFT (PBE-GGA) results for an optimized crystal structure of Tm6S5.

```
Tm6S5
1.0
3.3108 -5.7018 0.0000
3.3108 5.7018 0.0000
-2.2116 0.0000 6.2204
Tm S
6 5
Direct
0.0812 0.4152 0.2484
0.2493 0.2493 0.7446
0.4152 0.0812 0.2484
0.5848 0.9188 0.7516
0.7507 0.7507 0.2554
0.9188 0.5848 0.7516
0.1702 0.8298 0.5000
0.3348 0.6652 0.0000
0.5000 0.5000 0.5000
0.6652 0.3348 0.0000
0.8298 0.1702 0.5000
```

Calculated values
- Electronic total energy: -66.79 eV/f.u.
- Symmetry: C2/m (12)
- Formation energy without anion corrections: -1757 meV/atom

DFT (PBE-GGA) results for an optimized crystal structure of Tm10S19.

```
Tm10S19
1.0
8.5472 0.0000 0.0000
0.0000 8.5472 0.0000
0.0000 0.0000 15.6143
Tm S
20 38
Direct
0.0414 0.1518 0.1210
0.0538 0.1454 0.6047
0.1454 0.4462 0.8953
0.1518 0.4586 0.3790
0.2500 0.7500 0.1159
0.2500 0.7500 0.6159
0.3482 0.0414 0.3790
0.3546 0.0538 0.8953
0.4462 0.3546 0.6047
0.4586 0.3482 0.1210
0.5414 0.6518 0.8790
0.5538 0.6454 0.3953
0.6454 0.9462 0.1047
0.6518 0.9586 0.6210
0.7500 0.2500 0.3841
0.7500 0.2500 0.8841
0.8482 0.5414 0.6210
0.8546 0.5538 0.1047
0.9462 0.8546 0.3953
0.9586 0.8482 0.8790
0.0297 0.6896 0.2496
0.0485 0.1519 0.4288
0.0536 0.1491 0.9381
0.0691 0.6158 0.7500
0.1158 0.9309 0.2500
0.1491 0.4464 0.5619
0.1519 0.4515 0.0712
0.1896 0.9703 0.7496
0.2500 0.2500 0.2500
0.2500 0.7500 0.4359
0.2500 0.7500 0.9359
0.3104 0.5297 0.7496
0.3481 0.0485 0.0712
0.3509 0.0536 0.5619
0.3842 0.5691 0.2500
0.4309 0.8842 0.7500
0.4464 0.3509 0.9381
0.4515 0.3481 0.4288
0.4703 0.8104 0.2496
0.5297 0.1896 0.7504
0.5485 0.6519 0.5712
0.5536 0.6491 0.0619
0.5691 0.1158 0.2500
0.6158 0.4309 0.7500
0.6491 0.9464 0.4381
0.6519 0.9515 0.9288
0.6896 0.4703 0.2504
0.7500 0.2500 0.0641
0.7500 0.2500 0.5641
0.7500 0.7500 0.7500
0.8104 0.0297 0.2504
0.8481 0.5485 0.9288
0.8509 0.5536 0.4381
0.8842 0.0691 0.7500
0.9309 0.3842 0.2500
0.9464 0.8509 0.0619
0.9515 0.8481 0.5712
0.9703 0.3104 0.7504
```

Calculated values
- Electronic total energy: -174.21 eV/f.u.
- Symmetry: P4_2/n (86)
- Formation energy without anion corrections: -1761 meV/atom

Q: What is the formation energy without anion corrections in the second record?
A: -1761 meV/atom